Crystalline K2Ni2RhO6 at its relaxed geometry, computed with GGA+U.

The calculation puts the total energy at -111.39 eV for the cell shown.

Cell lengths 5.3087, 9.1103, 6.3768 Å; angles 90.00, 106.79, 90.00 degrees
Space group C2/m (No. 12)
Unique sites:
1 K 0.0000 0.1695 0.0000 (multiplicity 4)
2 Ni 0.0000 0.3343 0.5000 (multiplicity 4)
3 Rh 0.0000 0.0000 0.5000 (multiplicity 2)
4 O 0.2195 0.1638 0.6669 (multiplicity 8)
5 O 0.2315 0.5000 0.6663 (multiplicity 4)